No. 1
A relaxed Tb3Nb2W3N12 crystal, computed with GGA-PBE.

Summary:
The magnetization comes out at 0.017 μB per formula unit. The calculation puts the uncorrected energy at -9.5933 eV per atom.

```
Tb3Nb2W3N12
1.0
-6.407 6.407 6.407
6.407 -6.407 6.407
6.407 6.407 -6.407
N Tb W Nb
48 12 12 8
direct
0.088 0.707 0.684
0.184 0.207 0.588
0.684 0.096 0.977
0.881 0.404 0.088
0.523 0.404 0.816
0.096 0.977 0.684
0.912 0.293 0.316
0.477 0.381 0.293
0.119 0.023 0.207
0.023 0.207 0.119
0.904 0.023 0.316
0.588 0.904 0.381
0.619 0.412 0.096
0.477 0.596 0.184
0.977 0.793 0.881
0.207 0.119 0.023
0.316 0.904 0.023
0.707 0.684 0.088
0.881 0.977 0.793
0.707 0.523 0.619
0.207 0.588 0.184
0.381 0.588 0.904
0.977 0.684 0.096
0.596 0.912 0.119
0.404 0.816 0.523
0.684 0.088 0.707
0.596 0.184 0.477
0.588 0.184 0.207
0.816 0.523 0.404
0.088 0.881 0.404
0.096 0.619 0.412
0.619 0.707 0.523
0.793 0.412 0.816
0.412 0.096 0.619
0.523 0.619 0.707
0.293 0.477 0.381
0.023 0.316 0.904
0.816 0.793 0.412
0.793 0.881 0.977
0.381 0.293 0.477
0.184 0.477 0.596
0.904 0.381 0.588
0.912 0.119 0.596
0.316 0.912 0.293
0.293 0.316 0.912
0.412 0.816 0.793
0.119 0.596 0.912
0.404 0.088 0.881
0.375 0.750 0.125
0.750 0.125 0.375
0.250 0.875 0.625
0.375 0.125 0.250
0.875 0.750 0.625
0.750 0.625 0.875
0.625 0.875 0.750
0.875 0.625 0.250
0.125 0.375 0.750
0.250 0.375 0.125
0.625 0.250 0.875
0.125 0.250 0.375
0.625 0.375 0.250
0.875 0.125 0.750
0.250 0.625 0.375
0.125 0.875 0.250
0.375 0.625 0.750
0.875 0.250 0.125
0.125 0.750 0.875
0.625 0.750 0.375
0.750 0.375 0.625
0.250 0.125 0.875
0.375 0.250 0.625
0.750 0.875 0.125
0.500 0.000 0.500
0.500 0.500 0.500
0.000 0.000 0.000
0.500 0.500 0.000
0.000 0.500 0.000
0.500 0.000 0.000
0.000 0.500 0.500
0.000 0.000 0.500
```



No. 2
A relaxed ThNbN3 crystal, computed with GGA-PBE.

Summary:
The magnetization comes out at 0.009 μB per formula unit. The calculation puts the uncorrected energy at -9.7817 eV per atom.

```
ThNbN3
1.0
1.842 -6.719 0.000
1.842 6.719 0.000
0.000 0.000 6.046
N Nb Th
6 2 2
direct
0.835 0.165 0.488
0.165 0.835 0.988
0.494 0.506 0.250
0.165 0.835 0.512
0.506 0.494 0.750
0.835 0.165 0.012
0.069 0.931 0.750
0.931 0.069 0.250
0.676 0.324 0.250
0.324 0.676 0.750
```



No. 3
A relaxed Nb4TlN3 crystal, computed with GGA-PBE.

Summary:
The magnetization comes out at 0.014 μB per formula unit. The calculation puts the uncorrected energy at -9.0826 eV per atom.

```
Nb4TlN3
1.0
3.137 0.000 0.000
-1.568 2.716 0.000
0.000 0.000 25.127
N Nb Tl
6 8 2
direct
0.000 0.000 0.500
0.333 0.667 0.897
0.333 0.667 0.603
0.667 0.333 0.103
0.667 0.333 0.397
0.000 0.000 0.000
0.667 0.333 0.950
0.000 0.000 0.152
0.000 0.000 0.348
0.333 0.667 0.450
0.000 0.000 0.652
0.667 0.333 0.550
0.000 0.000 0.848
0.333 0.667 0.050
0.333 0.667 0.250
0.667 0.333 0.750
```



No. 4
A relaxed NbTl2N crystal, computed with GGA-PBE.

Summary:
The magnetization comes out at 0.004 μB per formula unit. The calculation puts the uncorrected energy at -4.9466 eV per atom.

```
NbTl2N
1.0
-3.077 1.122 0.277
0.550 -3.223 -0.343
0.839 -1.489 15.340
Tl Nb N
4 2 2
direct
0.333 0.667 0.098
0.667 0.333 0.902
0.667 0.333 0.598
0.333 0.667 0.402
0.333 0.667 0.750
0.667 0.333 0.250
0.000 0.000 0.500
0.000 0.000 0.000
```



No. 5
A relaxed NbTlN crystal, computed with GGA-PBE.

Summary:
The magnetization comes out at 0.046 μB per formula unit. The calculation puts the uncorrected energy at -5.4601 eV per atom.

```
NbTlN
1.0
7.865 0.000 0.000
-3.933 6.812 0.000
0.000 0.000 3.030
Nb Tl N
3 3 3
direct
0.333 0.667 0.500
0.000 0.000 0.000
0.667 0.333 0.500
0.288 0.000 0.500
0.712 0.712 0.500
0.000 0.288 0.500
0.000 0.510 0.000
0.510 0.000 0.000
0.490 0.490 0.000
```



No. 6
A relaxed Nb3TlN5 crystal, computed with GGA-PBE.

Summary:
The magnetization comes out at 0.004 μB per formula unit. The calculation puts the uncorrected energy at -7.8924 eV per atom.

```
Nb3TlN5
1.0
-4.543 2.940 0.423
0.178 -4.250 -3.373
-1.862 -3.497 4.309
Nb Tl N
3 1 5
direct
0.500 0.000 0.500
0.000 0.500 0.500
0.500 0.500 0.500
0.000 0.000 0.000
0.333 0.667 0.733
0.667 0.333 0.267
0.000 0.000 0.500
0.667 0.333 0.733
0.333 0.667 0.267
```



No. 7
A relaxed Y4Nb2Tl3N3 crystal, computed with GGA-PBE.

Summary:
The magnetization comes out at 0.010 μB per formula unit. The calculation puts the uncorrected energy at -7.3650 eV per atom.

```
Y4Nb2Tl3N3
1.0
0.900 -1.318 5.744
-3.973 -3.356 2.913
8.476 -10.716 -6.878
Nb Tl N Y
4 6 6 8
direct
0.355 0.523 0.819
0.477 0.645 0.181
0.644 0.477 0.681
0.523 0.356 0.319
0.880 0.120 0.500
0.417 0.285 0.002
0.285 0.417 0.502
0.715 0.583 0.998
0.120 0.880 0.000
0.583 0.715 0.498
0.177 0.662 0.250
0.500 0.000 0.250
0.823 0.338 0.250
0.662 0.177 0.750
0.338 0.823 0.750
0.000 0.500 0.750
0.303 0.131 0.661
0.808 0.964 0.161
0.697 0.869 0.839
0.192 0.036 0.339
0.036 0.192 0.839
0.964 0.808 0.661
0.869 0.697 0.339
0.131 0.303 0.161
```



No. 8
A relaxed Y2Nb4Tl3N3 crystal, computed with GGA-PBE.

Summary:
The magnetization comes out at 0.007 μB per formula unit. The calculation puts the uncorrected energy at -7.7731 eV per atom.

```
Y2Nb4Tl3N3
1.0
-3.282 -3.607 -3.271
-4.101 -3.321 2.576
-11.917 8.039 -2.061
Y Nb Tl N
4 8 6 6
direct
0.467 0.629 0.600
0.533 0.371 0.400
0.371 0.533 0.900
0.629 0.467 0.100
0.143 0.305 0.569
0.695 0.857 0.931
0.813 0.970 0.569
0.030 0.187 0.931
0.187 0.030 0.431
0.970 0.813 0.069
0.305 0.143 0.069
0.857 0.695 0.431
0.019 0.981 0.750
0.183 0.418 0.250
0.418 0.183 0.750
0.981 0.019 0.250
0.817 0.582 0.750
0.582 0.817 0.250
0.338 0.824 0.000
0.500 0.000 0.500
0.662 0.176 0.000
0.000 0.500 0.000
0.824 0.338 0.500
0.176 0.662 0.500
```



No. 9
A relaxed Zr2Nb4Tl3N3 crystal, computed with GGA-PBE.

Summary:
The magnetization comes out at 0.001 μB per formula unit. The calculation puts the uncorrected energy at -8.0640 eV per atom.

```
Zr2Nb4Tl3N3
1.0
4.925 -2.858 0.000
4.925 2.858 0.000
-3.237 0.000 14.289
Tl Zr N Nb
6 4 6 8
direct
0.062 0.938 0.250
0.227 0.419 0.751
0.938 0.062 0.750
0.419 0.227 0.251
0.773 0.581 0.249
0.581 0.773 0.749
0.359 0.528 0.088
0.528 0.359 0.588
0.472 0.641 0.412
0.641 0.472 0.912
0.500 0.000 0.500
0.000 0.500 0.000
0.660 0.181 0.000
0.819 0.340 0.500
0.181 0.660 0.500
0.340 0.819 0.000
0.032 0.186 0.076
0.968 0.814 0.924
0.864 0.693 0.576
0.814 0.968 0.424
0.186 0.032 0.576
0.307 0.136 0.924
0.136 0.307 0.424
0.693 0.864 0.076
```



No. 10
A relaxed Zr4Nb2Tl3N3 crystal, computed with GGA-PBE.

Summary:
The magnetization comes out at 0.002 μB per formula unit. The calculation puts the uncorrected energy at -7.9877 eV per atom.

```
Zr4Nb2Tl3N3
1.0
-5.052 0.673 2.569
-4.772 0.257 -3.121
1.841 -14.887 1.178
Tl Zr N Nb
6 8 6 4
direct
0.415 0.265 0.249
0.904 0.096 0.750
0.585 0.735 0.751
0.735 0.585 0.251
0.265 0.415 0.749
0.096 0.904 0.250
0.025 0.197 0.084
0.803 0.975 0.416
0.694 0.859 0.084
0.306 0.141 0.916
0.975 0.803 0.916
0.859 0.694 0.584
0.141 0.306 0.416
0.197 0.025 0.584
0.670 0.159 0.000
0.841 0.330 0.500
0.000 0.500 0.000
0.500 0.000 0.500
0.330 0.841 0.000
0.159 0.670 0.500
0.475 0.638 0.424
0.638 0.475 0.924
0.362 0.525 0.076
0.525 0.362 0.576
```



No. 11
A relaxed Tm2NbN3 crystal, computed with GGA-PBE.

Summary:
The magnetization comes out at 0.002 μB per formula unit. The calculation puts the uncorrected energy at -8.8872 eV per atom.

```
Tm2NbN3
1.0
-0.741 3.135 0.621
-1.744 -1.692 -2.204
-5.061 -2.347 5.808
N Tm Nb
3 2 1
direct
0.667 0.333 0.653
0.000 0.000 0.000
0.333 0.667 0.347
0.667 0.333 0.173
0.333 0.667 0.827
0.000 0.000 0.500
```



No. 12
A relaxed TmNb2N3 crystal, computed with GGA-PBE.

Summary:
The magnetization comes out at 0.009 μB per formula unit. The calculation puts the uncorrected energy at -9.5053 eV per atom.

```
TmNb2N3
1.0
-2.950 -0.770 -1.026
1.547 -1.938 2.049
-3.102 3.876 6.006
Tm Nb N
1 2 3
direct
0.000 0.000 0.500
0.333 0.667 0.846
0.667 0.333 0.154
0.000 0.000 0.000
0.667 0.333 0.681
0.333 0.667 0.319
```



No. 13
A relaxed Nb3WN crystal, computed with GGA-PBE.

Summary:
The magnetization comes out at 0.013 μB per formula unit. The calculation puts the uncorrected energy at -10.5567 eV per atom.

```
Nb3WN
1.0
-3.171 2.807 0.539
-2.021 -1.632 -3.388
-2.022 -2.772 2.541
N W Nb
1 1 3
direct
0.500 0.500 0.500
0.000 0.000 0.000
0.000 0.500 0.500
0.500 0.000 0.500
0.500 0.500 0.000
```



No. 14
A relaxed Y3Nb3W2N12 crystal, computed with GGA-PBE.

Summary:
The magnetization comes out at 0.002 μB per formula unit. The calculation puts the uncorrected energy at -9.6699 eV per atom.

```
Y3Nb3W2N12
1.0
-0.584 -10.834 -2.370
-9.699 3.396 4.211
2.212 5.703 -9.269
Y Nb N W
12 12 48 8
direct
0.125 0.375 0.750
0.375 0.125 0.250
0.750 0.125 0.375
0.875 0.625 0.250
0.250 0.875 0.625
0.125 0.250 0.375
0.625 0.875 0.750
0.625 0.250 0.875
0.750 0.625 0.875
0.250 0.375 0.125
0.875 0.750 0.625
0.375 0.750 0.125
0.125 0.750 0.875
0.375 0.250 0.625
0.875 0.125 0.750
0.250 0.625 0.375
0.625 0.375 0.250
0.125 0.875 0.250
0.375 0.625 0.750
0.625 0.750 0.375
0.875 0.250 0.125
0.750 0.375 0.625
0.750 0.875 0.125
0.250 0.125 0.875
0.617 0.418 0.093
0.700 0.524 0.617
0.675 0.082 0.700
0.524 0.407 0.825
0.300 0.476 0.383
0.582 0.175 0.200
0.300 0.325 0.918
0.883 0.407 0.082
0.200 0.117 0.024
0.883 0.976 0.800
0.800 0.418 0.825
0.593 0.918 0.117
0.024 0.325 0.907
0.200 0.582 0.175
0.175 0.200 0.582
0.418 0.825 0.800
0.325 0.907 0.024
0.175 0.476 0.593
0.700 0.675 0.082
0.082 0.700 0.675
0.976 0.800 0.883
0.907 0.024 0.325
0.476 0.383 0.300
0.383 0.300 0.476
0.918 0.117 0.593
0.675 0.093 0.976
0.524 0.617 0.700
0.976 0.675 0.093
0.024 0.200 0.117
0.093 0.976 0.675
0.918 0.300 0.325
0.117 0.593 0.918
0.800 0.883 0.976
0.907 0.383 0.582
0.593 0.175 0.476
0.418 0.093 0.617
0.476 0.593 0.175
0.617 0.700 0.524
0.825 0.800 0.418
0.093 0.617 0.418
0.825 0.524 0.407
0.117 0.024 0.200
0.407 0.825 0.524
0.407 0.082 0.883
0.082 0.883 0.407
0.325 0.918 0.300
0.582 0.907 0.383
0.383 0.582 0.907
0.500 0.000 0.000
0.500 0.500 0.500
0.000 0.000 0.000
0.000 0.000 0.500
0.500 0.500 0.000
0.000 0.500 0.500
0.000 0.500 0.000
0.500 0.000 0.500
```